(1)
Density functional theory data (GGA-PBE) for a relaxed Ba3HOs crystal.

a = 5.2420 Å, b = 5.2420 Å, c = 5.2420 Å
α = 90.00°, β = 90.00°, γ = 90.00°
Positions (direct):
H  0.0000  0.0000  0.0000
Os  0.5000  0.5000  0.5000
Ba  0.0000  0.5000  0.0000
Ba  0.0000  0.0000  0.5000
Ba  0.5000  0.0000  0.0000

## Properties
DOS(E_F)	3.34	states/eV per cell
size of the total moment	0.0	μB per formula unit
electronic total energy	-3.5744	eV/atom



(2)
Density functional theory data (GGA-PBE) for a relaxed BaHOs3 crystal.

a = 5.2328 Å, b = 5.2328 Å, c = 5.2328 Å
α = 90.00°, β = 90.00°, γ = 90.00°
Positions (direct):
H  0.5000  0.5000  0.5000
Os  0.0000  0.5000  0.0000
Os  0.0000  0.0000  0.5000
Os  0.5000  0.0000  0.0000
Ba  0.0000  0.0000  0.0000

## Properties
DOS(E_F)	6.17	states/eV per cell
size of the total moment	6.9	μB per formula unit
electronic total energy	-3.5268	eV/atom